Density functional theory data (PBE-GGA) for crystalline Y2ScH at its relaxed geometry.

Cell: 8.4493 8.4493 8.4493 Å, 24.23 24.23 24.23°
Sites, in units of the cell vectors:
Y 0.2235 0.2235 0.2235
Y 0.7765 0.7765 0.7765
Sc 0.0000 0.0000 0.0000
H 0.5000 0.5000 0.5000

Results
symmetry	R-3m, No. 166
final energy	-23.2	eV/f.u.